Material: Ac3Te2Os
Method: DFT, PBE
State: relaxed

Unit cell a=8.1085 b=8.1085 c=14.4627 alpha=100.96 beta=100.96 gamma=108.75
Fractional positions:
Ac  0.1604  0.6949  0.8171
Ac  0.6567  0.1223  0.8171
Ac  0.0896  0.0551  0.6829
Ac  0.5933  0.6277  0.6829
Ac  0.0414  0.5414  0.5000
Ac  0.4586  0.9586  0.5000
Ac  0.3723  0.4067  0.3171
Ac  0.9449  0.9104  0.3171
Ac  0.8777  0.3433  0.1829
Ac  0.3051  0.8396  0.1829
Ac  0.2086  0.2086  0.0000
Ac  0.7914  0.7914  0.0000
Te  0.9952  0.4952  0.9905
Te  0.4219  0.4219  0.8437
Te  0.8281  0.3281  0.6563
Te  0.2548  0.2548  0.5095
Te  0.7452  0.7452  0.4905
Te  0.6719  0.1719  0.3437
Te  0.5781  0.5781  0.1563
Te  0.5048  0.0048  0.0095
Os  0.9162  0.9162  0.8323
Os  0.3338  0.8338  0.6677
Os  0.1662  0.6662  0.3323
Os  0.0838  0.0838  0.1677

Calculated values
Symmetry: Fddd, No. 70
Calculated total energy in eV/atom: -5.931
E_form (uncorrected) in kcal/mol of atoms: -22.1
D(E_F) in states/eV per cell: 16.3